No. 1
Below is TaRuI2O at its PBEsol-relaxed geometry, with properties calculated at the SCAN level.

formation energy (no corrections)	13.8	kJ per mole of atoms

```
TaRuI2O
1.0
-2.9751 1.2854 1.9639
-2.8430 -4.4781 -1.3757
1.8541 -2.5534 4.4800
O Ru I Ta
1 1 2 1
direct
0.5000 0.0000 0.0000 O
0.5000 0.5000 0.5000 Ru
0.0000 0.0000 0.5000 I
0.0000 0.5000 0.0000 I
0.0000 0.0000 0.0000 Ta
```



No. 2
Below is LaReBr2 at its PBEsol-relaxed geometry, with properties calculated at the SCAN level.

formation energy (no corrections)	26.8	kJ per mole of atoms

```
LaReBr2
1.0
3.8259 0.0000 0.0000
0.0000 4.6202 0.0000
0.0000 0.0000 4.6202
Br La Re
2 1 1
direct
0.0000 0.0000 0.5000 Br
0.0000 0.5000 0.0000 Br
0.5000 0.5000 0.5000 La
0.5000 0.0000 0.0000 Re
```



No. 3
Below is Ca2CrWO6 at its PBEsol-relaxed geometry, with properties calculated at the SCAN level.

formation energy (no corrections)	-270.4	kJ per mole of atoms

```
Ca2CrWO6
1.0
5.4332 -0.0225 -0.0244
-2.7112 4.6713 0.0245
-2.6889 -1.5218 4.4164
Cr W O Ca
1 1 6 2
direct
0.5000 0.0000 0.0000 Cr
0.5000 0.5000 0.5000 W
0.5831 0.7496 0.2501 O
0.4169 0.2504 0.7499 O
0.5011 0.2053 0.2951 O
0.9994 0.2932 0.2038 O
0.0006 0.7068 0.7962 O
0.4989 0.7947 0.7049 O
0.9872 0.2514 0.7489 Ca
0.0128 0.7486 0.2511 Ca
```



No. 4
Below is CaLa4Mn at its PBEsol-relaxed geometry, with properties calculated at the SCAN level.

formation energy from the elements	0.3362	eV/atom

```
CaLa4Mn
1.0
6.5556 0.0000 0.0000
3.2778 5.6774 0.0000
3.2778 1.8925 5.3527
Ca La Mn
1 4 1
direct
0.0000 0.0000 0.0000 Ca
0.3788 0.3788 0.3788 La
0.8636 0.3788 0.3788 La
0.3788 0.3788 0.8636 La
0.3788 0.8636 0.3788 La
0.7500 0.7500 0.7500 Mn
```



What did the third record say?
Below is Ca2CrWO6 at its PBEsol-relaxed geometry, with properties calculated at the SCAN level.

formation energy (no corrections)	-270.4	kJ per mole of atoms

```
Ca2CrWO6
1.0
5.4332 -0.0225 -0.0244
-2.7112 4.6713 0.0245
-2.6889 -1.5218 4.4164
Cr W O Ca
1 1 6 2
direct
0.5000 0.0000 0.0000 Cr
0.5000 0.5000 0.5000 W
0.5831 0.7496 0.2501 O
0.4169 0.2504 0.7499 O
0.5011 0.2053 0.2951 O
0.9994 0.2932 0.2038 O
0.0006 0.7068 0.7962 O
0.4989 0.7947 0.7049 O
0.9872 0.2514 0.7489 Ca
0.0128 0.7486 0.2511 Ca
```